Material: Sn6HgTe8
Method: DFT, PBE
State: optimized geometry

Values from the calculation:
The value obtained for the formation energy from raw total energies is -0.20 eV/atom. For the energy, the calculation gives -0.2569 Ry/atom.

```
Sn6HgTe8
1.0
4.4040 0.0000 0.0000
0.0000 10.3209 -5.9588
0.0000 0.0000 11.9175
Te Sn Hg
8 6 1
direct
0.7494 0.6852 0.6462
0.7494 0.3538 0.0389
0.2506 0.0389 0.6852
0.7494 0.9611 0.3148
0.2506 0.6462 0.9611
0.7497 0.3333 0.6667
0.2506 0.3148 0.3538
0.2503 0.6667 0.3333
0.7512 0.4859 0.3544
0.2488 0.1315 0.4859
0.2488 0.3544 0.8685
0.2488 0.5141 0.6456
0.7512 0.8685 0.5141
0.7512 0.6456 0.1315
0.5000 0.0000 0.0000
```